Record 1
Density functional theory data (GGA-PBE) for crystalline NaAsI2 at its relaxed geometry.

Output
**Symmetry**: Fm-3m, No. 225
**ΔE_f (raw)**: 0.022 eV per atom
**DFT total energy**: -35.9 eV/cell
**Excess energy over the best structure of this formula in the dataset**: 220 meV per atom

```
data_NaAsI2
_chemical_formula_sum 'Na4 As4 I8'
_symmetry_space_group_name_H-M 'P 1'
_symmetry_Int_Tables_number 1
_cell_length_a 7.907
_cell_length_b 7.907
_cell_length_c 7.907
_cell_angle_alpha 90.00
_cell_angle_beta 90.00
_cell_angle_gamma 90.00
loop_
_symmetry_equiv_pos_as_xyz
'x,y,z'
loop_
_atom_site_label
_atom_site_type_symbol
_atom_site_fract_x
_atom_site_fract_y
_atom_site_fract_z
_atom_site_occupancy
Na1 Na 0.000 0.000 0.000 1
Na2 Na 0.000 0.500 0.500 1
Na3 Na 0.500 0.000 0.500 1
Na4 Na 0.500 0.500 0.000 1
As1 As 0.000 0.000 0.500 1
As2 As 0.000 0.500 0.000 1
As3 As 0.500 0.000 0.000 1
As4 As 0.500 0.500 0.500 1
I1 I 0.250 0.250 0.250 1
I2 I 0.250 0.250 0.750 1
I3 I 0.250 0.750 0.250 1
I4 I 0.250 0.750 0.750 1
I5 I 0.750 0.250 0.250 1
I6 I 0.750 0.250 0.750 1
I7 I 0.750 0.750 0.250 1
I8 I 0.750 0.750 0.750 1
```

Record 2
Density functional theory data (GGA-PBE) for crystalline Nd2SmPuAs4 at its relaxed geometry.

Output
**Symmetry**: P2/m, No. 10
**Energy of formation from the pure elements**: -11.06 eV/f.u.
**DFT total energy**: -58.2 eV/cell

```
data_Nd2SmPuAs4
_chemical_formula_sum 'Nd2 Sm1 Pu1 As4'
_symmetry_space_group_name_H-M 'P 1'
_symmetry_Int_Tables_number 1
_cell_length_a 7.308
_cell_length_b 4.229
_cell_length_c 7.310
_cell_angle_alpha 90.00
_cell_angle_beta 109.45
_cell_angle_gamma 90.00
loop_
_symmetry_equiv_pos_as_xyz
'x,y,z'
loop_
_atom_site_label
_atom_site_type_symbol
_atom_site_fract_x
_atom_site_fract_y
_atom_site_fract_z
_atom_site_occupancy
Nd1 Nd 0.000 0.000 0.000 1
Nd2 Nd 0.500 0.500 0.000 1
Sm1 Sm 0.000 0.500 0.500 1
Pu1 Pu 0.500 0.000 0.500 1
As1 As 0.252 0.000 0.744 1
As2 As 0.257 0.500 0.259 1
As3 As 0.743 0.500 0.741 1
As4 As 0.748 0.000 0.256 1
```

Record 3
Density functional theory data (GGA-PBE) for crystalline BaZrAlIn2 at its relaxed geometry.

Output
**Symmetry**: P4/mmm, No. 123
**Energy of formation from the pure elements**: 7.53 eV/f.u.
**DFT total energy**: -12.2 eV/cell

```
data_BaZrAlIn2
_chemical_formula_sum 'Ba1 Zr1 Al1 In2'
_symmetry_space_group_name_H-M 'P 1'
_symmetry_Int_Tables_number 1
_cell_length_a 5.855
_cell_length_b 5.855
_cell_length_c 5.553
_cell_angle_alpha 90.00
_cell_angle_beta 90.00
_cell_angle_gamma 90.00
loop_
_symmetry_equiv_pos_as_xyz
'x,y,z'
loop_
_atom_site_label
_atom_site_type_symbol
_atom_site_fract_x
_atom_site_fract_y
_atom_site_fract_z
_atom_site_occupancy
Ba1 Ba 0.000 0.000 0.000 1
Zr1 Zr 0.500 0.500 0.500 1
Al1 Al 0.000 0.000 0.500 1
In1 In 0.000 0.500 0.000 1
In2 In 0.500 0.000 0.000 1
```

Record 4
Density functional theory data (GGA-PBE) for crystalline KCa4Hg5 at its relaxed geometry.

Output
**Symmetry**: P4/mmm, No. 123
**Energy of formation from the pure elements**: -4.61 eV/f.u.
**DFT total energy**: -15.2 eV/cell

```
data_KCa4Hg5
_chemical_formula_sum 'K1 Ca4 Hg5'
_symmetry_space_group_name_H-M 'P 1'
_symmetry_Int_Tables_number 1
_cell_length_a 3.800
_cell_length_b 3.800
_cell_length_c 19.958
_cell_angle_alpha 90.00
_cell_angle_beta 90.00
_cell_angle_gamma 90.00
loop_
_symmetry_equiv_pos_as_xyz
'x,y,z'
loop_
_atom_site_label
_atom_site_type_symbol
_atom_site_fract_x
_atom_site_fract_y
_atom_site_fract_z
_atom_site_occupancy
K1 K 0.000 0.000 0.000 1
Ca1 Ca 0.000 0.000 0.215 1
Ca2 Ca 0.000 0.000 0.406 1
Ca3 Ca 0.000 0.000 0.594 1
Ca4 Ca 0.000 0.000 0.785 1
Hg1 Hg 0.500 0.500 0.124 1
Hg2 Hg 0.500 0.500 0.311 1
Hg3 Hg 0.500 0.500 0.500 1
Hg4 Hg 0.500 0.500 0.689 1
Hg5 Hg 0.500 0.500 0.876 1
```

Record 5
Density functional theory data (GGA-PBE) for crystalline YZrP at its relaxed geometry.

Output
**Symmetry**: P3m1, No. 156
**Energy of formation from the pure elements**: -2.67 eV/f.u.
**DFT total energy**: -23.1 eV/cell

```
data_YZrP
_chemical_formula_sum 'Y1 Zr1 P1'
_symmetry_space_group_name_H-M 'P 1'
_symmetry_Int_Tables_number 1
_cell_length_a 3.713
_cell_length_b 3.713
_cell_length_c 6.012
_cell_angle_alpha 90.00
_cell_angle_beta 90.00
_cell_angle_gamma 120.00
loop_
_symmetry_equiv_pos_as_xyz
'x,y,z'
loop_
_atom_site_label
_atom_site_type_symbol
_atom_site_fract_x
_atom_site_fract_y
_atom_site_fract_z
_atom_site_occupancy
Y1 Y 0.000 0.000 0.000 1
Zr1 Zr 0.333 0.667 0.473 1
P1 P 0.667 0.333 0.713 1
```

Record 6
Density functional theory data (GGA-PBE) for crystalline Si2NiCl at its relaxed geometry.

Output
**Symmetry**: Cm, No. 8
**ΔE_f (raw)**: -0.009 eV per atom
**DFT total energy**: -37.0 eV/cell
**Excess energy over the best structure of this formula in the dataset**: 316 meV per atom

```
data_Si2NiCl
_chemical_formula_sum 'Si4 Ni2 Cl2'
_symmetry_space_group_name_H-M 'P 1'
_symmetry_Int_Tables_number 1
_cell_length_a 9.271
_cell_length_b 2.901
_cell_length_c 5.293
_cell_angle_alpha 90.00
_cell_angle_beta 117.19
_cell_angle_gamma 90.00
loop_
_symmetry_equiv_pos_as_xyz
'x,y,z'
loop_
_atom_site_label
_atom_site_type_symbol
_atom_site_fract_x
_atom_site_fract_y
_atom_site_fract_z
_atom_site_occupancy
Si1 Si 0.000 0.000 0.000 1
Si2 Si 0.100 0.000 0.528 1
Si3 Si 0.500 0.500 0.000 1
Si4 Si 0.600 0.500 0.528 1
Ni1 Ni 0.404 0.000 0.627 1
Ni2 Ni 0.904 0.500 0.627 1
Cl1 Cl 0.268 0.000 0.153 1
Cl2 Cl 0.768 0.500 0.153 1
```